## NdGdTeI (PBE)

Data for NdGdTeI after structural relaxation.

Lattice parameters (Å, degrees): 5.447 5.447 5.447 60.00 60.00 60.00
Each line ends with the local moment (μB).
Sites, in units of the cell vectors:
I 0.750 0.750 0.750  -0.01
Te 0.250 0.250 0.250  -0.02
Gd 0.000 0.000 0.000  7.12
Nd 0.500 0.500 0.500  0.06

Computed properties:
SG: F-43m (216)
Formation energy from raw total energies (meV per atom): -1069